## i
Material: MgInI2O
Method: DFT, PBE
State: optimized geometry

Output
Total moment: 0.1836 μB per atom

a = 6.1445 Å, b = 6.1445 Å, c = 3.8104 Å
α = 90.00°, β = 90.00°, γ = 90.00°
Atoms (fractional coordinates):
Mg 0.0000 0.0000 0.0000
In 0.5000 0.5000 0.5000
I 0.0000 0.5000 0.0000
I 0.5000 0.0000 0.0000
O 0.0000 0.0000 0.5000

## ii
Material: MgInI2O
Method: DFT, PBE
State: optimized geometry

Output
Total moment: 0.0001 μB per atom

a = 6.1046 Å, b = 6.1046 Å, c = 4.0087 Å
α = 90.00°, β = 90.00°, γ = 90.00°
Atoms (fractional coordinates):
Mg 0.0000 0.0000 0.0000
In 0.5000 0.5000 0.5000
I 0.0000 0.5000 0.5000
I 0.5000 0.0000 0.5000
O 0.5000 0.5000 0.0000

i takes first place; second place is 0.301 eV/atom up.